# 1
VASP calculation (PBE) on a geometry-optimized TbPm4Sm2Sc structure.

Results
Energy relative to the elements, meV/atom: 28
Total energy, eV per cell: -39.178
Crystal system: orthorhombic
N(E_F), states/eV/atom: 1.409

Cell: 5.076 5.090 10.082 Å, 90.00 90.00 90.00°
Space group Pmmm (No. 47)
Inequivalent atoms, fractional coordinates:
Tb: 0.000 0.000 0.000 x1
Pm: 0.000 0.500 0.255 x2
Pm: 0.500 0.000 0.255 x2
Sm: 0.000 0.000 0.500 x1
Sm: 0.500 0.500 0.000 x1
Sc: 0.500 0.500 0.500 x1

=====

# 2
VASP calculation (PBE) on a geometry-optimized Li2NiCl structure.

Results
Excess energy over the best structure of this formula in the dataset, meV/atom: 216.1
Total energy, eV per cell: -12.598
Uncorrected formation energy, meV/atom: -285
Crystal system: monoclinic
N(E_F), states/eV/atom: 1.520

Cell: 3.373 3.640 5.610 Å, 90.00 91.32 90.00°
Space group P2/m (No. 10)
Inequivalent atoms, fractional coordinates:
Li: 0.000 0.000 0.000 x1
Li: 0.500 0.500 0.500 x1
Ni: 0.000 0.000 0.500 x1
Cl: 0.500 0.500 0.000 x1

=====

# 3
VASP calculation (PBE) on a geometry-optimized Na3GeSe3 structure.

Results
Excess energy over the best structure of this formula in the dataset, meV/atom: 226.2
Total energy, eV per cell: -94.212
Uncorrected formation energy, meV/atom: -646
Crystal system: orthorhombic
N(E_F), states/eV/atom: 0.413

Cell: 9.596 16.603 5.860 Å, 90.00 90.00 90.00°
Space group Cmcm (No. 63)
Inequivalent atoms, fractional coordinates:
Na: 0.000 0.167 0.250 x4
Na: 0.249 0.416 0.250 x8
Ge: 0.000 0.333 0.750 x4
Se: 0.000 0.187 0.750 x4
Se: 0.218 0.406 0.750 x8

=====

# 4
VASP calculation (PBE) on a geometry-optimized PmUN2F structure.

Results
Total energy, eV per cell: -90.251
Uncorrected formation energy, meV/atom: -2113
Crystal system: tetragonal
N(E_F), states/eV/atom: 0.741

Cell: 3.502 3.502 11.354 Å, 90.00 90.00 90.00°
Space group P4/nmm (No. 129, origin choice 2)
Inequivalent atoms, fractional coordinates:
Pm: 0.250 0.250 0.150 x2
U: 0.250 0.250 0.607 x2
N: 0.250 0.250 0.390 x2
N: 0.250 0.250 0.786 x2
F: 0.250 0.750 0.000 x2

=====

# 5
VASP calculation (PBE) on a geometry-optimized LiHBrCl structure.

Results
Excess energy over the best structure of this formula in the dataset, meV/atom: 44.9
Total energy, eV per cell: -25.343
Crystal system: monoclinic
N(E_F), states/eV/atom: 0.000

Cell: 6.865 4.065 6.943 Å, 90.00 102.91 90.00°
Space group Cm (No. 8)
Inequivalent atoms, fractional coordinates:
Li: 0.000 0.000 0.000 x2
H: 0.294 0.500 0.465 x2
Br: 0.496 0.500 0.581 x2
Cl: 0.349 0.000 0.052 x2

=====

# 6
VASP calculation (PBE) on a geometry-optimized Ce3Ga8Pd3 structure.

Results
Energy relative to the elements, meV/atom: -663
Total energy, eV per cell: -133.748
Crystal system: orthorhombic
N(E_F), states/eV/atom: 1.327

Cell: 4.354 9.617 12.715 Å, 90.00 90.00 90.00°
Space group Immm (No. 71)
Inequivalent atoms, fractional coordinates:
Ce: 0.000 0.000 0.000 x2
Ce: 0.000 0.000 0.311 x4
Ga: 0.000 0.282 0.130 x8
Ga: 0.000 0.368 0.336 x8
Pd: 0.000 0.210 0.500 x4
Pd: 0.000 0.500 0.000 x2

=====

# 7
VASP calculation (PBE) on a geometry-optimized BaMg2CdPb4 structure.

Results
Energy relative to the elements, meV/atom: -164
Total energy, eV per cell: -66.520
Crystal system: trigonal
N(E_F), states/eV/atom: 0.585

Cell: 5.3853 5.3853 28.9698 Å, 90.00 90.00 120.00°
Space group R-3m (No. 166, hexagonal axes)
Inequivalent atoms, fractional coordinates:
Ba: 0.0000 0.0000 0.0000 x3
Mg: 0.0000 0.0000 0.2452 x6
Cd: 0.0000 0.0000 0.5000 x3
Pb: 0.0000 0.0000 0.1307 x6
Pb: 0.0000 0.0000 0.3964 x6

=====

# 8
VASP calculation (PBE) on a geometry-optimized Y3CoCu structure.

Results
Energy relative to the elements, meV/atom: -150
Excess energy over the best structure of this formula in the dataset, meV/atom: 0.0
Total energy, eV per cell: -125.369
Crystal system: monoclinic
N(E_F), states/eV/atom: 0.983

Cell: 10.196 6.237 8.045 Å, 90.00 113.75 90.00°
Space group C2/m (No. 12)
Inequivalent atoms, fractional coordinates:
Y: 0.009 0.000 0.229 x4
Y: 0.190 0.500 0.856 x4
Y: 0.196 0.500 0.337 x4
Co: 0.000 0.318 0.000 x4
Cu: 0.000 0.299 0.500 x4

=====

Q: Among the records above, which one has the lowest total energy?
A: Ce3Ga8Pd3